Record 1
Entry from the Alexandria database: crystalline CaAs2Ir at its relaxed geometry (PBE).

The calculation puts the volume at 75.5 Å³/cell. The size of the total moment is 0.00 Bohr magnetons per cell. The calculation puts the energy relative to the elements at -0.203 eV per atom. The electronic total energy is -5.24 eV/atom.

The structure belongs to space group Pmmm (No. 47); the cell edges are 3.199, 3.293 and 7.171 Å and the angles 90.00°, 90.00° and 90.00°. The asymmetric unit holds Ca at (0.000, 0.000, 0.000), As at (0.500, 0.500, 0.296) and Ir at (0.000, 0.000, 0.500).



Record 2
Entry from the Alexandria database: crystalline TiGeHIr2 at its relaxed geometry (PBE).

The calculation puts the volume at 62.2 Å³/cell. The size of the total moment is 0.00 Bohr magnetons per cell. The electronic total energy is -7.01 eV/atom.

The structure belongs to space group P4/mmm (No. 123); the cell edges are 3.961, 3.961 and 3.967 Å and the angles 90.00°, 90.00° and 90.00°. The asymmetric unit holds Ti at (0.000, 0.000, 0.000), Ge at (0.500, 0.500, 0.000), H at (0.000, 0.000, 0.500) and Ir at (0.000, 0.500, 0.500).



Record 3
Entry from the Alexandria database: crystalline YCr2Br at its relaxed geometry (PBE).

For the energy relative to the elements, uncorrected, the calculation gives 0.70 eV/atom. The calculation puts the volume at 72.1 Å³/cell. The size of the total moment is 0.00 Bohr magnetons per cell. The value obtained for the energy above the most stable polymorph in this dataset is 685 meV per atom. The electronic total energy is -6.14 eV/atom.

The structure belongs to space group P4/mmm (No. 123); the cell edges are 3.752, 3.752 and 5.120 Å and the angles 90.00°, 90.00° and 90.00°. The asymmetric unit holds Y at (0.000, 0.000, 0.000), Cr at (0.000, 0.500, 0.500) and Br at (0.500, 0.500, 0.000).



Record 4
Entry from the Alexandria database: crystalline Hf2Ga3Au at its relaxed geometry (PBE).

The calculation puts the volume at 855.7 Å³/cell. The size of the total moment is 0.00 Bohr magnetons per cell. The calculation puts the energy relative to the elements at -0.422 eV per atom. The electronic total energy is -5.80 eV/atom.

The structure belongs to space group Fmmm (No. 69); the cell edges are 6.290, 8.812 and 15.437 Å and the angles 90.00°, 90.00° and 90.00°. The asymmetric unit holds Hf at (0.249, 0.000, 0.000), Hf at (0.250, 0.250, 0.250), Ga at (0.000, 0.000, 0.166), Ga at (0.000, 0.249, 0.082) and Au at (0.000, 0.000, 0.334).



- Look up the electronic total energy of the second one.
  -7.01 eV/atom